Record 1
The following is a DFT calculation (PBE-GGA) of an optimized crystal structure of LaPd.

Lattice parameters (Å, degrees): 10.5354 10.5354 4.2163 90.00 90.00 90.00
Fractional coordinates of all 16 atoms:
La 0.2183 0.8927 0.0000
La 0.7817 0.1073 0.0000
La 0.1073 0.2183 0.0000
La 0.8927 0.7817 0.0000
La 0.7183 0.3927 0.5000
La 0.2817 0.6073 0.5000
La 0.6073 0.7183 0.5000
La 0.3927 0.2817 0.5000
Pd 0.4017 0.1005 0.0000
Pd 0.5983 0.8995 0.0000
Pd 0.8995 0.4017 0.0000
Pd 0.1005 0.5983 0.0000
Pd 0.9017 0.6005 0.5000
Pd 0.0983 0.3995 0.5000
Pd 0.3995 0.9017 0.5000
Pd 0.6005 0.0983 0.5000

Results
The calculation puts the density of states at the Fermi level at 14.49 states/eV/cell. As for the theoretical density: 6.964 Mg/m³. Its volume is 467.99 Å³ per cell. The size of the total moment is 0.00 μB per formula unit. Its formation energy is -72 kJ/mol of formula units.


Record 2
The following is a DFT calculation (PBE-GGA) of an optimized crystal structure of La3Pd4.

Lattice parameters (Å, degrees): 8.3280 8.3280 8.3280 114.68 114.68 114.68
Fractional coordinates of all 14 atoms:
La 0.9707 0.5941 0.7196
La 0.7196 0.9707 0.5941
La 0.5941 0.7196 0.9707
La 0.0293 0.4059 0.2804
La 0.2804 0.0293 0.4059
La 0.4059 0.2804 0.0293
Pd 0.0000 0.0000 0.0000
Pd 0.5000 0.5000 0.5000
Pd 0.9412 0.7775 0.4421
Pd 0.4421 0.9412 0.7775
Pd 0.7775 0.4421 0.9412
Pd 0.0588 0.2225 0.5579
Pd 0.5579 0.0588 0.2225
Pd 0.2225 0.5579 0.0588

Results
The calculation puts the density of states at the Fermi level at 8.91 states/eV/cell. As for the theoretical density: 8.411 Mg/m³. Its volume is 332.61 Å³ per cell. The size of the total moment is 0.00 μB per formula unit. Its formation energy is -568 kJ/mol of formula units.


Record 3
The following is a DFT calculation (PBE-GGA) of an optimized crystal structure of La3Pd4.

Lattice parameters (Å, degrees): 4.0774 5.7850 15.2615 90.00 90.00 110.63
Fractional coordinates of all 14 atoms:
La 0.6607 0.3213 0.0951
La 0.3416 0.6831 0.9055
La 0.6609 0.3218 0.4056
La 0.3415 0.6829 0.5951
La 0.9336 0.8671 0.2503
La 0.0687 0.1374 0.7504
Pd 0.2091 0.4182 0.2504
Pd 0.7932 0.5864 0.7503
Pd 0.3781 0.7562 0.1050
Pd 0.0011 0.0023 0.0003
Pd 0.3784 0.7569 0.3957
Pd 0.6241 0.2483 0.8957
Pd 0.0012 0.0025 0.5004
Pd 0.6240 0.2479 0.6050

Results
The calculation puts the density of states at the Fermi level at 10.08 states/eV/cell. As for the theoretical density: 8.304 Mg/m³. Its volume is 336.89 Å³ per cell. The size of the total moment is 0.00 μB per formula unit. Its formation energy is -560 kJ/mol of formula units.


Record 4
The following is a DFT calculation (PBE-GGA) of an optimized crystal structure of LaPd.

Lattice parameters (Å, degrees): 5.0624 5.0624 6.0078 90.00 90.00 120.00
Fractional coordinates of all 4 atoms:
La 0.3333 0.6667 0.7500
La 0.6667 0.3333 0.2500
Pd 0.3333 0.6667 0.2500
Pd 0.6667 0.3333 0.7500

Results
The calculation puts the density of states at the Fermi level at 4.88 states/eV/cell. As for the theoretical density: 6.110 Mg/m³. Its volume is 133.34 Å³ per cell. The size of the total moment is 0.00 μB per formula unit. Its formation energy is -92 kJ/mol of formula units.


Record 5
The following is a DFT calculation (PBE-GGA) of an optimized crystal structure of LaPm3Pd2.

Lattice parameters (Å, degrees): 4.0949 9.2247 10.5422 116.64 90.00 102.82
Fractional coordinates of all 12 atoms:
La 0.8931 0.7862 0.9876
La 0.1069 0.2138 0.0124
Pm 0.2884 0.5768 0.6522
Pm 0.9438 0.8877 0.6108
Pm 0.6366 0.2733 0.7321
Pm 0.3634 0.7267 0.2679
Pm 0.0562 0.1123 0.3892
Pm 0.7116 0.4232 0.3478
Pd 0.4754 0.9507 0.8405
Pd 0.5246 0.0493 0.1595
Pd 0.7445 0.4890 0.0870
Pd 0.2555 0.5110 0.9130

Results
The calculation puts the density of states at the Fermi level at 12.49 states/eV/cell. As for the theoretical density: 7.578 Mg/m³. Its volume is 344.79 Å³ per cell. The size of the total moment is 0.00 μB per formula unit. Its formation energy is -297 kJ/mol of formula units.


Record 6
The following is a DFT calculation (PBE-GGA) of an optimized crystal structure of LaPmPd2.

Lattice parameters (Å, degrees): 5.1530 5.1530 5.1530 60.00 60.00 60.00
Fractional coordinates of all 4 atoms:
La 0.0000 0.0000 0.0000
Pd 0.2500 0.2500 0.2500
Pd 0.7500 0.7500 0.7500
Pm 0.5000 0.5000 0.5000

Results
The calculation puts the density of states at the Fermi level at 4.26 states/eV/cell. As for the theoretical density: 8.525 Mg/m³. Its volume is 96.76 Å³ per cell. The size of the total moment is 0.00 μB per formula unit. Its formation energy is -289 kJ/mol of formula units.


Record 7
The following is a DFT calculation (PBE-GGA) of an optimized crystal structure of La4Pm3Pd4.

Lattice parameters (Å, degrees): 4.9697 7.6964 9.2283 114.65 105.62 90.00
Fractional coordinates of all 11 atoms:
La 0.3330 0.1094 0.6660
La 0.6670 0.4434 0.3340
La 0.6670 0.8906 0.3340
La 0.3330 0.5566 0.6660
Pm 0.0961 0.0961 0.1921
Pm 0.9039 0.9039 0.8079
Pm 0.0000 0.5000 0.0000
Pd 0.1970 0.6970 0.3940
Pd 0.8030 0.3030 0.6060
Pd 0.5000 0.8165 0.0000
Pd 0.5000 0.1835 0.0000

Results
The calculation puts the density of states at the Fermi level at 13.33 states/eV/cell. As for the theoretical density: 7.675 Mg/m³. Its volume is 306.41 Å³ per cell. The size of the total moment is 0.00 μB per formula unit. Its formation energy is -530 kJ/mol of formula units.


Record 8
The following is a DFT calculation (PBE-GGA) of an optimized crystal structure of La3Pm3Pd4.

Lattice parameters (Å, degrees): 4.0625 8.1093 8.1093 89.99 90.00 90.00
Fractional coordinates of all 10 atoms:
La 0.5000 0.8335 0.1665
La 0.5000 0.3310 0.3323
La 0.5000 0.6677 0.6690
Pm 0.0000 0.4963 0.9986
Pm 0.0000 0.0014 0.5037
Pm 0.5000 0.1685 0.8315
Pd 0.0000 0.6285 0.3715
Pd 0.0000 0.3698 0.6302
Pd 0.0000 0.8741 0.8709
Pd 0.0000 0.1291 0.1259

Results
The calculation puts the density of states at the Fermi level at 7.93 states/eV/cell. As for the theoretical density: 7.940 Mg/m³. Its volume is 267.15 Å³ per cell. The size of the total moment is 0.00 μB per formula unit. Its formation energy is -633 kJ/mol of formula units.


Record 9
The following is a DFT calculation (PBE-GGA) of an optimized crystal structure of La3PmPd8.

Lattice parameters (Å, degrees): 5.5586 5.5586 9.1032 90.00 90.00 120.00
Fractional coordinates of all 12 atoms:
La 0.6667 0.3333 0.4385
La 0.6667 0.3333 0.0656
La 0.0000 0.0000 0.9327
Pm 0.0000 0.0000 0.5626
Pd 0.3333 0.6667 0.5001
Pd 0.3333 0.6667 0.0008
Pd 0.5009 0.0018 0.7484
Pd 0.5009 0.4991 0.7484
Pd 0.9982 0.4991 0.7484
Pd 0.1652 0.3305 0.2515
Pd 0.1652 0.8348 0.2515
Pd 0.6695 0.8348 0.2515

Results
The calculation puts the density of states at the Fermi level at 6.66 states/eV/cell. As for the theoretical density: 9.633 Mg/m³. Its volume is 243.58 Å³ per cell. The size of the total moment is 0.00 μB per formula unit. Its formation energy is -879 kJ/mol of formula units.


Record 10
The following is a DFT calculation (PBE-GGA) of an optimized crystal structure of LaPmPd3.

Lattice parameters (Å, degrees): 4.3881 3.9189 13.8550 98.13 90.00 90.00
Fractional coordinates of all 10 atoms:
La 0.2500 0.0721 0.1441
La 0.7500 0.9279 0.8559
Pm 0.2500 0.7955 0.5909
Pm 0.7500 0.2045 0.4091
Pd 0.2500 0.3762 0.7524
Pd 0.7500 0.6238 0.2476
Pd 0.2500 0.4726 0.9452
Pd 0.7500 0.5274 0.0548
Pd 0.7500 0.3146 0.6292
Pd 0.2500 0.6854 0.3708

Results
The calculation puts the density of states at the Fermi level at 7.53 states/eV/cell. As for the theoretical density: 8.493 Mg/m³. Its volume is 235.86 Å³ per cell. The size of the total moment is 0.00 μB per formula unit. Its formation energy is -382 kJ/mol of formula units.


Record 11
The following is a DFT calculation (PBE-GGA) of an optimized crystal structure of LaPm3Pd3.

Lattice parameters (Å, degrees): 7.2056 7.2056 7.2194 90.66 90.66 95.14
Fractional coordinates of all 14 atoms:
La 0.7410 0.7410 0.8772
La 0.2590 0.2590 0.1228
Pm 0.6580 0.6580 0.3757
Pm 0.1784 0.8216 0.5000
Pm 0.8216 0.1784 0.5000
Pm 0.2511 0.7489 0.0000
Pm 0.7489 0.2511 0.0000
Pm 0.3420 0.3420 0.6243
Pd 0.9346 0.9346 0.1925
Pd 0.9902 0.4944 0.7202
Pd 0.4944 0.9902 0.7202
Pd 0.0098 0.5056 0.2798
Pd 0.5056 0.0098 0.2798
Pd 0.0654 0.0654 0.8075

Results
The calculation puts the density of states at the Fermi level at 13.17 states/eV/cell. As for the theoretical density: 7.947 Mg/m³. Its volume is 373.28 Å³ per cell. The size of the total moment is 0.00 μB per formula unit. Its formation energy is -416 kJ/mol of formula units.


Record 12
The following is a DFT calculation (PBE-GGA) of an optimized crystal structure of LaPmPd2.

Lattice parameters (Å, degrees): 3.9250 4.6511 5.8168 90.00 109.75 90.00
Fractional coordinates of all 4 atoms:
La 0.4459 0.5000 0.4312
Pm 0.7178 0.0000 0.9744
Pd 0.1706 0.5000 0.8804
Pd 0.9967 0.0000 0.5321

Results
The calculation puts the density of states at the Fermi level at 2.41 states/eV/cell. As for the theoretical density: 8.254 Mg/m³. Its volume is 99.94 Å³ per cell. The size of the total moment is 0.00 μB per formula unit. Its formation energy is -320 kJ/mol of formula units.


Record 13
The following is a DFT calculation (PBE-GGA) of an optimized crystal structure of La2Pm3Pd4.

Lattice parameters (Å, degrees): 7.2992 7.8395 9.1866 90.00 113.41 90.00
Fractional coordinates of all 18 atoms:
La 0.0961 0.5960 0.1923
La 0.9039 0.4040 0.8077
La 0.4039 0.0960 0.8077
La 0.5961 0.9040 0.1923
Pm 0.0000 0.0000 0.0000
Pm 0.5000 0.5000 0.0000
Pm 0.5306 0.7500 0.5612
Pm 0.9694 0.2500 0.4388
Pm 0.4694 0.2500 0.4388
Pm 0.0306 0.7500 0.5612
Pd 0.7047 0.7500 0.9094
Pd 0.7953 0.2500 0.0906
Pd 0.2953 0.2500 0.0906
Pd 0.2047 0.7500 0.9094
Pd 0.1805 0.9504 0.3610
Pd 0.8195 0.0496 0.6390
Pd 0.3195 0.4504 0.6390
Pd 0.6805 0.5496 0.3610

Results
The calculation puts the density of states at the Fermi level at 14.05 states/eV/cell. As for the theoretical density: 7.838 Mg/m³. Its volume is 482.42 Å³ per cell. The size of the total moment is 0.00 μB per formula unit. Its formation energy is -534 kJ/mol of formula units.


Record 14
The following is a DFT calculation (PBE-GGA) of an optimized crystal structure of La4Pm3Pd2.

Lattice parameters (Å, degrees): 3.8831 9.4110 8.8886 112.39 102.62 90.00
Fractional coordinates of all 9 atoms:
La 0.2324 0.6659 0.4647
La 0.7676 0.3341 0.5353
La 0.6268 0.8817 0.2537
La 0.3732 0.1183 0.7463
Pm 0.0721 0.1807 0.1443
Pm 0.9279 0.8193 0.8557
Pm 0.0000 0.5000 0.0000
Pd 0.3832 0.5556 0.7665
Pd 0.6168 0.4444 0.2335

Results
The calculation puts the density of states at the Fermi level at 13.16 states/eV/cell. As for the theoretical density: 6.848 Mg/m³. Its volume is 291.83 Å³ per cell. The size of the total moment is 0.00 μB per formula unit. Its formation energy is -273 kJ/mol of formula units.


Record 15
The following is a DFT calculation (PBE-GGA) of an optimized crystal structure of LaPmPd2.

Lattice parameters (Å, degrees): 4.1568 4.1568 7.6025 74.13 74.13 60.00
Fractional coordinates of all 4 atoms:
La 0.4973 0.4973 0.5082
Pm 0.6697 0.6697 0.9910
Pd 0.0829 0.0829 0.7512
Pd 0.2501 0.2501 0.2496

Results
The calculation puts the density of states at the Fermi level at 3.00 states/eV/cell. As for the theoretical density: 7.641 Mg/m³. Its volume is 107.95 Å³ per cell. The size of the total moment is 0.00 μB per formula unit. Its formation energy is -257 kJ/mol of formula units.


Record 16
The following is a DFT calculation (PBE-GGA) of an optimized crystal structure of LaPm2Pd2.

Lattice parameters (Å, degrees): 4.7725 5.6365 10.7284 81.77 90.00 90.00
Fractional coordinates of all 10 atoms:
La 0.2500 0.5728 0.2168
La 0.7500 0.4272 0.7832
Pm 0.2500 0.8837 0.8822
Pm 0.7500 0.1163 0.1178
Pm 0.2500 0.2250 0.5311
Pm 0.7500 0.7750 0.4689
Pd 0.2500 0.6892 0.6334
Pd 0.7500 0.3108 0.3666
Pd 0.2500 0.3466 0.9773
Pd 0.7500 0.6534 0.0227

Results
The calculation puts the density of states at the Fermi level at 9.19 states/eV/cell. As for the theoretical density: 7.462 Mg/m³. Its volume is 285.63 Å³ per cell. The size of the total moment is 0.00 μB per formula unit. Its formation energy is -292 kJ/mol of formula units.


Record 17
The following is a DFT calculation (PBE-GGA) of an optimized crystal structure of La3PmPd.

Lattice parameters (Å, degrees): 7.6285 7.6285 7.6630 108.56 111.52 108.17
Fractional coordinates of all 10 atoms:
La 0.8402 0.0469 0.2741
La 0.2272 0.4338 0.2741
La 0.7728 0.5662 0.7259
La 0.7193 0.4466 0.1659
La 0.1598 0.9531 0.7259
La 0.2807 0.5534 0.8341
Pm 0.7070 0.0545 0.7615
Pm 0.2930 0.9455 0.2385
Pd 0.6191 0.7502 0.3694
Pd 0.3809 0.2498 0.6306

Results
The calculation puts the density of states at the Fermi level at 13.46 states/eV/cell. As for the theoretical density: 6.456 Mg/m³. Its volume is 343.73 Å³ per cell. The size of the total moment is 0.00 μB per formula unit. Its formation energy is -121 kJ/mol of formula units.


Record 18
The following is a DFT calculation (PBE-GGA) of an optimized crystal structure of La2PmPd4.

Lattice parameters (Å, degrees): 5.1933 5.1933 8.3906 108.03 108.03 90.00
Fractional coordinates of all 7 atoms:
La 0.6386 0.6386 0.2771
La 0.3614 0.3614 0.7229
Pm 0.0000 0.0000 0.0000
Pd 0.8121 0.8121 0.6241
Pd 0.1879 0.1879 0.3759
Pd 0.0000 0.5000 0.0000
Pd 0.5000 0.0000 0.0000

Results
The calculation puts the density of states at the Fermi level at 4.68 states/eV/cell. As for the theoretical density: 6.925 Mg/m³. Its volume is 203.47 Å³ per cell. The size of the total moment is 0.00 μB per formula unit. Its formation energy is -181 kJ/mol of formula units.


Record 19
The following is a DFT calculation (PBE-GGA) of an optimized crystal structure of LaPmPd2.

Lattice parameters (Å, degrees): 3.5659 5.1946 5.1946 90.00 90.00 90.00
Fractional coordinates of all 4 atoms:
La 0.5000 0.0000 0.0000
Pd 0.0000 0.0000 0.5000
Pd 0.0000 0.5000 0.0000
Pm 0.5000 0.5000 0.5000

Results
The calculation puts the density of states at the Fermi level at 2.92 states/eV/cell. As for the theoretical density: 8.572 Mg/m³. Its volume is 96.22 Å³ per cell. The size of the total moment is 0.00 μB per formula unit. Its formation energy is -293 kJ/mol of formula units.


Record 20
The following is a DFT calculation (PBE-GGA) of an optimized crystal structure of LaPmPd2.

Lattice parameters (Å, degrees): 4.2169 4.2169 7.3465 73.32 73.32 60.00
Fractional coordinates of all 4 atoms:
La 0.0000 0.0000 0.0000
Pd 0.7513 0.7513 0.7461
Pd 0.2487 0.2487 0.2539
Pm 0.5000 0.5000 0.5000

Results
The calculation puts the density of states at the Fermi level at 2.33 states/eV/cell. As for the theoretical density: 7.728 Mg/m³. Its volume is 106.74 Å³ per cell. The size of the total moment is 0.00 μB per formula unit. Its formation energy is -280 kJ/mol of formula units.